! Mn3Cu4 | Alexandria via LeMat-Bulk | PBE | relaxed; values from VASP
&SYSTEM
  ibrav = 0, nat = 7, ntyp = 2
/
ATOMIC_SPECIES
Mn 54.94 Mn.upf
Cu 63.55 Cu.upf
CELL_PARAMETERS angstrom
-1.5071 1.5071 9.8204
1.5071 -1.5071 9.8204
1.5071 1.5071 -9.8204
ATOMIC_POSITIONS crystal
Mn 0.0000 0.0000 0.0000
Mn 0.2892 0.2892 0.0000
Mn 0.7108 0.7108 0.0000
Cu 0.1402 0.1402 0.0000
Cu 0.4288 0.4288 0.0000
Cu 0.5712 0.5712 0.0000
Cu 0.8598 0.8598 0.0000
! - E_form: 157 meV/atom
! - Polymorph energy (0 for the lowest one): 0.0000 eV per atom
! - SG: I4/mmm, No. 139

=====

! Cs2MgTiCl6 | Alexandria via LeMat-Bulk | PBE | relaxed; values from VASP
&SYSTEM
  ibrav = 0, nat = 20, ntyp = 4
/
ATOMIC_SPECIES
Cs 132.91 Cs.upf
Mg 24.30 Mg.upf
Ti 47.87 Ti.upf
Cl 35.45 Cl.upf
CELL_PARAMETERS angstrom
3.6872 2.1288 12.0660
-3.6872 2.1288 12.0660
0.0000 -4.2576 12.0660
ATOMIC_POSITIONS crystal
Cs 0.1256 0.1256 0.1256
Cs 0.2905 0.2905 0.2905
Cs 0.7095 0.7095 0.7095
Cs 0.8744 0.8744 0.8744
Mg 0.0000 0.0000 0.0000
Mg 0.5000 0.5000 0.5000
Ti 0.4121 0.4121 0.4121
Ti 0.5879 0.5879 0.5879
Cl 0.1481 0.6111 0.6111
Cl 0.2046 0.2046 0.7117
Cl 0.2046 0.7118 0.2046
Cl 0.2883 0.7954 0.7954
Cl 0.3889 0.3889 0.8519
Cl 0.3889 0.8519 0.3889
Cl 0.6111 0.1481 0.6111
Cl 0.6111 0.6111 0.1481
Cl 0.7118 0.2046 0.2046
Cl 0.7954 0.2882 0.7954
Cl 0.7954 0.7954 0.2882
Cl 0.8519 0.3889 0.3889
! - Polymorph energy (0 for the lowest one): 0.0000 eV per atom
! - SG: R-3m, No. 166

=====

! ScFe2Pb | Alexandria via LeMat-Bulk | PBE | relaxed; values from VASP
&SYSTEM
  ibrav = 0, nat = 4, ntyp = 3
/
ATOMIC_SPECIES
Sc 44.96 Sc.upf
Fe 55.84 Fe.upf
Pb 207.20 Pb.upf
CELL_PARAMETERS angstrom
4.2875 0.0000 0.0000
0.0000 4.2875 0.0000
0.0000 0.0000 3.7184
ATOMIC_POSITIONS crystal
Sc 0.0000 0.0000 0.0000
Fe 0.0000 0.5000 0.5000
Fe 0.5000 0.0000 0.5000
Pb 0.5000 0.5000 0.0000
! - E_form: 165 meV/atom
! - SG: P4/mmm, No. 123

=====

! Sm3Be6Pd20 | Alexandria via LeMat-Bulk | PBE | relaxed; values from VASP
&SYSTEM
  ibrav = 0, nat = 29, ntyp = 3
/
ATOMIC_SPECIES
Sm 150.36 Sm.upf
Be 9.01 Be.upf
Pd 106.42 Pd.upf
CELL_PARAMETERS angstrom
0.0000 6.0216 6.0216
6.0216 0.0000 6.0216
6.0216 6.0216 0.0000
ATOMIC_POSITIONS crystal
Sm 0.0000 0.0000 0.0000
Sm 0.2500 0.2500 0.2500
Sm 0.7500 0.7500 0.7500
Be 0.2726 0.2726 0.7274
Be 0.2726 0.7274 0.2726
Be 0.2726 0.7274 0.7274
Be 0.7274 0.2726 0.2726
Be 0.7274 0.2726 0.7274
Be 0.7274 0.7274 0.2726
Pd 0.0000 0.0000 0.3419
Pd 0.0000 0.0000 0.6580
Pd 0.0000 0.3419 0.0000
Pd 0.0000 0.3419 0.6580
Pd 0.0000 0.6580 0.0000
Pd 0.0000 0.6580 0.3419
Pd 0.1520 0.6160 0.6160
Pd 0.3419 0.0000 0.0000
Pd 0.3419 0.0000 0.6580
Pd 0.3419 0.6580 0.0000
Pd 0.3840 0.3840 0.3840
Pd 0.3840 0.3840 0.8480
Pd 0.3840 0.8480 0.3840
Pd 0.6160 0.1520 0.6160
Pd 0.6160 0.6160 0.1520
Pd 0.6160 0.6160 0.6160
Pd 0.6580 0.0000 0.0000
Pd 0.6580 0.0000 0.3419
Pd 0.6580 0.3419 0.0000
Pd 0.8480 0.3840 0.3840
! - E_form: -630 meV/atom
! - SG: Fm-3m, No. 225

=====

! Ac4CdAu2 | Alexandria via LeMat-Bulk | PBE | relaxed; values from VASP
&SYSTEM
  ibrav = 0, nat = 14, ntyp = 3
/
ATOMIC_SPECIES
Ac 227.00 Ac.upf
Cd 112.41 Cd.upf
Au 196.97 Au.upf
CELL_PARAMETERS angstrom
0.0000 6.9471 7.6902
4.9466 0.0000 7.6902
4.9466 6.9471 0.0000
ATOMIC_POSITIONS crystal
Ac 0.1309 0.2838 0.3230
Ac 0.2377 0.6770 0.7162
Ac 0.2838 0.1309 0.7623
Ac 0.3230 0.7623 0.1309
Ac 0.6770 0.2377 0.8691
Ac 0.7162 0.8691 0.2377
Ac 0.7623 0.3230 0.2838
Ac 0.8691 0.7162 0.6770
Cd 0.3750 0.3750 0.3750
Cd 0.6250 0.6250 0.6250
Au 0.0000 0.0000 0.0000
Au 0.0000 0.0000 0.5000
Au 0.0000 0.5000 0.0000
Au 0.5000 0.0000 0.0000
! - E_form: -424 meV/atom
! - SG: Fddd, No. 70

=====

! H2Pd3 | Alexandria via LeMat-Bulk | PBE | relaxed; values from VASP
&SYSTEM
  ibrav = 0, nat = 10, ntyp = 2
/
ATOMIC_SPECIES
H 1.01 H.upf
Pd 106.42 Pd.upf
CELL_PARAMETERS angstrom
4.9713 0.0000 0.0000
0.0000 2.9144 0.0000
-1.6344 0.0000 7.0811
ATOMIC_POSITIONS crystal
H 0.1787 0.2500 0.1441
H 0.2659 0.2500 0.5528
H 0.7341 0.7500 0.4472
H 0.8213 0.7500 0.8559
Pd 0.0269 0.7500 0.3320
Pd 0.2513 0.7500 0.9984
Pd 0.4753 0.7500 0.6699
Pd 0.5247 0.2500 0.3301
Pd 0.7487 0.2500 0.0016
Pd 0.9731 0.2500 0.6680
! - Polymorph energy (0 for the lowest one): 0.0082 eV per atom
! - SG: P2_1/m, No. 11

=====

| no. | M_tot (μB/f.u.) | final energy (eV/atom) |
| --- | --- | --- |
| 1 | 10.3 | -6.11 |
| 2 | 2.0 | -4.01 |
| 3 | 3.9 | -6.58 |
| 4 | 0.0 | -5.47 |
| 5 | 0.0 | -3.84 |
| 6 | 0.0 | -4.53 |